Entry 1:
Computed, not measured: a relaxed structure of FeAg2W at the GGA-PBE level of DFT.

POSCAR file:
```
FeAg2W
1.0
-3.562 3.112 0.420
-4.123 1.597 -1.732
-3.069 -3.004 2.916
Ag Fe W
2 1 1
Direct
0.000 0.000 0.997 Ag
0.753 0.753 0.754 Ag
0.498 0.498 0.476 Fe
0.249 0.249 0.273 W
```

## Properties
* offset from the most stable computed form: 236.8 meV per atom
* energy: -6.197 eV/atom
* magnetic moment: 1.996 μB/f.u.
* Fermi-level density of states: 3.15 states/eV per cell

Entry 2:
Computed, not measured: a relaxed structure of FeAgW2 at the GGA-PBE level of DFT.

POSCAR file:
```
FeAgW2
1.0
4.243 0.000 0.000
0.000 2.680 0.003
0.000 1.797 5.385
Ag Fe W
1 1 2
Direct
0.500 0.250 0.250 Ag
0.500 0.750 0.750 Fe
0.000 0.972 0.979 W
0.000 0.528 0.521 W
```

## Properties
* offset from the most stable computed form: 183.2 meV per atom
* energy: -8.806 eV/atom
* magnetic moment: 1.823 μB/f.u.
* Fermi-level density of states: 3.47 states/eV per cell

Entry 3:
Computed, not measured: a relaxed structure of FeAgW2 at the GGA-PBE level of DFT.

POSCAR file:
```
FeAgW2
1.0
-1.691 3.313 0.863
-1.792 -1.679 2.935
3.171 0.970 2.491
Ag Fe W
1 1 2
Direct
0.500 0.000 0.500 Ag
0.000 0.500 0.500 Fe
0.000 0.000 0.000 W
0.500 0.500 0.000 W
```

## Properties
* offset from the most stable computed form: 226.5 meV per atom
* energy: -8.763 eV/atom
* magnetic moment: 1.673 μB/f.u.
* Fermi-level density of states: 2.52 states/eV per cell

Entry 4:
Computed, not measured: a relaxed structure of FeAg2W at the GGA-PBE level of DFT.

POSCAR file:
```
FeAg2W
1.0
-1.819 2.086 0.229
-3.505 -2.994 -0.573
-0.197 -0.710 4.914
Ag Fe W
2 1 1
Direct
0.000 0.000 0.000 Ag
0.500 0.500 0.000 Ag
0.500 0.000 0.500 Fe
0.000 0.500 0.500 W
```

## Properties
* offset from the most stable computed form: 302.3 meV per atom
* energy: -6.131 eV/atom
* magnetic moment: 2.299 μB/f.u.
* Fermi-level density of states: 3.43 states/eV per cell

Entry 5:
Computed, not measured: a relaxed structure of FeAg2W at the GGA-PBE level of DFT.

POSCAR file:
```
FeAg2W
1.0
-2.500 -0.352 -4.524
-0.158 -4.101 3.162
-2.208 0.968 1.145
Ag Fe W
2 1 1
Direct
0.000 0.000 0.000 Ag
0.500 0.500 0.000 Ag
0.500 0.000 0.500 Fe
0.000 0.500 0.500 W
```

## Properties
* offset from the most stable computed form: 340.0 meV per atom
* energy: -6.094 eV/atom
* magnetic moment: 2.044 μB/f.u.
* Fermi-level density of states: 4.71 states/eV per cell

Entry 6:
Computed, not measured: a relaxed structure of FeAgW2 at the GGA-PBE level of DFT.

POSCAR file:
```
FeAgW2
1.0
-1.851 -1.964 0.422
1.760 -1.863 -0.946
2.849 -1.087 7.436
Ag Fe W
1 1 2
Direct
0.500 0.500 0.250 Ag
0.500 0.500 0.750 Fe
0.000 0.000 0.965 W
0.000 0.000 0.535 W
```

## Properties
* offset from the most stable computed form: 94.3 meV per atom
* energy: -8.895 eV/atom
* magnetic moment: 0.000 μB/f.u.
* Fermi-level density of states: 3.37 states/eV per cell

Entry 7:
Computed, not measured: a relaxed structure of FeAgW2 at the GGA-PBE level of DFT.

POSCAR file:
```
FeAgW2
1.0
0.399 0.549 4.374
0.823 4.020 1.660
-3.144 2.148 2.256
Ag W Fe
1 2 1
Direct
0.500 0.500 0.500 Ag
0.250 0.250 0.250 W
0.750 0.750 0.750 W
0.000 0.000 0.000 Fe
```

## Properties
* offset from the most stable computed form: 492.9 meV per atom
* energy: -8.496 eV/atom
* magnetic moment: 1.932 μB/f.u.
* Fermi-level density of states: 4.21 states/eV per cell

Entry 8:
Computed, not measured: a relaxed structure of FeAg2W at the GGA-PBE level of DFT.

POSCAR file:
```
FeAg2W
1.0
5.149 -0.051 0.000
2.478 4.514 0.000
-3.814 -2.231 2.644
Ag Fe W
2 1 1
Direct
0.000 0.000 0.000 Ag
0.500 0.500 0.000 Ag
0.250 0.750 0.500 Fe
0.750 0.250 0.500 W
```

## Properties
* offset from the most stable computed form: 385.8 meV per atom
* energy: -6.048 eV/atom
* magnetic moment: 0.714 μB/f.u.
* Fermi-level density of states: 3.04 states/eV per cell

no.,formation energy (eV per atom)
1,0.5828
2,0.4990
3,0.5423
4,0.6483
5,0.6861
6,0.4102
7,0.8087
8,0.7318